Entry from Alexandria via LeMat-Bulk: crystalline Fe2OsW at its relaxed geometry (PBE).

Summary:
- energy of formation (eV per atom) = 0.07
- calculated total energy (eV for the cell shown) = -40.84
- N(E_F) (states/eV per cell) = 4.9
- magnetization (μB/atom) = 0.168

Lattice parameters (Å, degrees): 3.657 3.749 3.749 90.00 90.00 90.00
Positions (direct):
Os1 0.500 0.500 0.000
Fe1 0.000 0.000 0.000
Fe2 0.000 0.500 0.500
W1 0.500 0.000 0.500